InSi2Pt: relaxed, PBE-GGA.

Cell lengths 6.548, 6.548, 6.548 Å; angles 90.00, 90.00, 90.00 degrees
Fractional coordinates of all 16 atoms:
In 0.000 0.000 0.000
In 0.000 0.500 0.500
In 0.500 0.000 0.500
In 0.500 0.500 0.000
Si 0.000 0.000 0.500
Si 0.000 0.500 0.000
Si 0.250 0.250 0.250
Si 0.250 0.750 0.750
Si 0.500 0.000 0.000
Si 0.500 0.500 0.500
Si 0.750 0.250 0.750
Si 0.750 0.750 0.250
Pt 0.250 0.250 0.750
Pt 0.250 0.750 0.250
Pt 0.750 0.250 0.250
Pt 0.750 0.750 0.750

Values from the calculation:
For the energy relative to the elements, uncorrected, the calculation gives 257 meV/atom.

=====

LaTiPd2C: relaxed, PBE-GGA.

Cell lengths 4.476, 4.476, 4.228 Å; angles 90.00, 90.00, 90.00 degrees
Fractional coordinates of all 5 atoms:
La 0.000 0.000 0.000
Ti 0.500 0.500 0.000
Pd 0.000 0.500 0.500
Pd 0.500 0.000 0.500
C 0.500 0.500 0.500

Values from the calculation:
The formation energy is -0.167 eV/atom.